Sm2Y6Er3In | PBE | optimized geometry

Summary:
For the formation energy, the calculation gives -0.05 eV per atom. As for the spin magnetization: 0.0 Bohr magnetons per cell. The energy is -5.4355 eV/atom. As for the density: 6.48 g cm⁻³.

```
data_Sm2Y6Er3In
_cell_length_a 6.1019
_cell_length_b 10.5770
_cell_length_c 11.7012
_cell_angle_alpha 90.00
_cell_angle_beta 100.05
_cell_angle_gamma 90.00
_symmetry_space_group_name_H-M 'C 1 2/m 1'
_symmetry_Int_Tables_number 12
loop_
_symmetry_equiv_pos_as_xyz
'x,y,z'
'-x,-y,-z'
'-x,y,-z'
'x,-y,z'
'x+1/2,y+1/2,z'
'-x+1/2,-y+1/2,-z'
'-x+1/2,y+1/2,-z'
'x+1/2,-y+1/2,z'
loop_
_atom_site_label
_atom_site_fract_x
_atom_site_fract_y
_atom_site_fract_z
_atom_site_occupancy
Sm1 0.0000 0.1661 0.0000 1
Y1 0.2444 0.5000 0.7499 1
Y2 0.2464 0.3363 0.2491 1
Er1 0.0000 0.0000 0.5000 1
Er2 0.0000 0.3336 0.5000 1
In1 0.0000 0.5000 0.0000 1
```